[1]
# Na2PrGaSe4 PBE-GGA relaxed
data_Na2PrGaSe4
_symmetry_space_group_name_H-M 'C 1 2/c 1'
_symmetry_Int_Tables_number 15
_cell_length_a 11.705
_cell_length_b 11.906
_cell_length_c 7.954
_cell_angle_alpha 90.00
_cell_angle_beta 132.54
_cell_angle_gamma 90.00
loop_
_symmetry_equiv_pos_as_xyz
'x,y,z'
'-x,-y,-z'
'-x,y,-z+1/2'
'x,-y,z+1/2'
'x+1/2,y+1/2,z'
'-x+1/2,-y+1/2,-z'
'-x+1/2,y+1/2,-z+1/2'
'x+1/2,-y+1/2,z+1/2'
loop_
_atom_site_label
_atom_site_fract_x
_atom_site_fract_y
_atom_site_fract_z
Na1 0.000 0.000 0.000
Na2 0.250 0.250 0.000
Pr1 0.250 0.250 0.500
Ga1 0.000 0.500 0.000
Se1 0.001 0.254 0.999
Se2 0.206 0.498 0.964
# Formation energy without anion corrections: -1.128 eV per atom

---

[2]
# NaPrSmGa PBE-GGA relaxed
data_NaPrSmGa
_symmetry_space_group_name_H-M 'F -4 3 m'
_symmetry_Int_Tables_number 216
_symmetry_space_group_name_Hall 'F -4 2 3'
_cell_length_a 7.600
_cell_length_b 7.600
_cell_length_c 7.600
_cell_angle_alpha 90.00
_cell_angle_beta 90.00
_cell_angle_gamma 90.00
loop_
_atom_site_label
_atom_site_fract_x
_atom_site_fract_y
_atom_site_fract_z
Na1 0.000 0.000 0.000
Pr1 0.250 0.250 0.750
Sm1 0.250 0.250 0.250
Ga1 0.000 0.000 0.500
# Energy relative to the elements: -0.14 eV per atom

---

[3]
# Na2PrGaTe4 PBE-GGA relaxed
data_Na2PrGaTe4
_symmetry_space_group_name_H-M 'C 1 2/c 1'
_symmetry_Int_Tables_number 15
_cell_length_a 12.530
_cell_length_b 12.856
_cell_length_c 8.501
_cell_angle_alpha 90.00
_cell_angle_beta 132.20
_cell_angle_gamma 90.00
loop_
_symmetry_equiv_pos_as_xyz
'x,y,z'
'-x,-y,-z'
'-x,y,-z+1/2'
'x,-y,z+1/2'
'x+1/2,y+1/2,z'
'-x+1/2,-y+1/2,-z'
'-x+1/2,y+1/2,-z+1/2'
'x+1/2,-y+1/2,z+1/2'
loop_
_atom_site_label
_atom_site_fract_x
_atom_site_fract_y
_atom_site_fract_z
Na1 0.000 0.000 0.000
Na2 0.250 0.250 0.000
Pr1 0.250 0.250 0.500
Ga1 0.000 0.500 0.000
Te1 0.001 0.251 0.998
Te2 0.210 0.500 0.472
# Formation energy without anion corrections: -0.827 eV per atom

---

[4]
# NaPrYGa PBE-GGA relaxed
data_NaPrYGa
_symmetry_space_group_name_H-M 'F -4 3 m'
_symmetry_Int_Tables_number 216
_symmetry_space_group_name_Hall 'F -4 2 3'
_cell_length_a 7.547
_cell_length_b 7.547
_cell_length_c 7.547
_cell_angle_alpha 90.00
_cell_angle_beta 90.00
_cell_angle_gamma 90.00
loop_
_atom_site_label
_atom_site_fract_x
_atom_site_fract_y
_atom_site_fract_z
Na1 0.000 0.000 0.000
Pr1 0.250 0.250 0.250
Y1 0.250 0.250 0.750
Ga1 0.000 0.000 0.500
# Energy relative to the elements: -0.15 eV per atom

---

[5]
# NaPrZnGa PBE-GGA relaxed
data_NaPrZnGa
_symmetry_space_group_name_H-M 'F -4 3 m'
_symmetry_Int_Tables_number 216
_symmetry_space_group_name_Hall 'F -4 2 3'
_cell_length_a 7.224
_cell_length_b 7.224
_cell_length_c 7.224
_cell_angle_alpha 90.00
_cell_angle_beta 90.00
_cell_angle_gamma 90.00
loop_
_atom_site_label
_atom_site_fract_x
_atom_site_fract_y
_atom_site_fract_z
Na1 0.000 0.000 0.000
Pr1 0.000 0.000 0.500
Zn1 0.250 0.250 0.750
Ga1 0.250 0.250 0.250
# Energy relative to the elements: -0.23 eV per atom

---

[6]
# NaGa3Pt PBE-GGA relaxed
data_NaGa3Pt
_symmetry_space_group_name_H-M 'P 1 21/c 1'
_symmetry_Int_Tables_number 14
_cell_length_a 6.565
_cell_length_b 7.378
_cell_length_c 8.665
_cell_angle_alpha 90.00
_cell_angle_beta 108.94
_cell_angle_gamma 90.00
loop_
_symmetry_equiv_pos_as_xyz
'x,y,z'
'-x,-y,-z'
'-x,y+1/2,-z+1/2'
'x,-y+1/2,z+1/2'
loop_
_atom_site_label
_atom_site_fract_x
_atom_site_fract_y
_atom_site_fract_z
Na1 0.161 0.034 0.209
Ga1 0.062 0.665 0.038
Ga2 0.343 0.566 0.351
Ga3 0.375 0.121 0.581
Pt1 0.451 0.743 0.622
# Energy relative to the elements: -0.33 eV per atom
# Energy above the most stable polymorph in this dataset: 62 meV per atom

---

[7]
# NaGa5Pt PBE-GGA relaxed
data_NaGa5Pt
_symmetry_space_group_name_H-M 'P 4/m m m'
_symmetry_Int_Tables_number 123
_symmetry_space_group_name_Hall '-P 4 2'
_cell_length_a 4.356
_cell_length_b 4.356
_cell_length_c 6.947
_cell_angle_alpha 90.00
_cell_angle_beta 90.00
_cell_angle_gamma 90.00
loop_
_atom_site_label
_atom_site_fract_x
_atom_site_fract_y
_atom_site_fract_z
Na1 0.000 0.000 0.000
Ga1 0.000 0.500 0.292
Ga2 0.500 0.500 0.000
Pt1 0.000 0.000 0.500
# Energy relative to the elements: -0.28 eV per atom

---

[8]
# Na3Ga2Pt2 PBE-GGA relaxed
data_Na3Ga2Pt2
_symmetry_space_group_name_H-M 'P b c m'
_symmetry_Int_Tables_number 57
_cell_length_a 5.880
_cell_length_b 7.981
_cell_length_c 13.501
_cell_angle_alpha 90.00
_cell_angle_beta 90.00
_cell_angle_gamma 90.00
loop_
_symmetry_equiv_pos_as_xyz
'x,y,z'
'-x,-y,-z'
'-x,-y,z+1/2'
'x,y,-z+1/2'
'x,-y+1/2,-z'
'-x,y+1/2,z'
'-x,y+1/2,-z+1/2'
'x,-y+1/2,z+1/2'
loop_
_atom_site_label
_atom_site_fract_x
_atom_site_fract_y
_atom_site_fract_z
Na1 0.125 0.117 0.098
Na2 0.349 0.720 0.750
Ga1 0.200 0.072 0.750
Ga2 0.419 0.750 0.000
Pt1 0.362 0.021 0.588
# Energy relative to the elements: -0.41 eV per atom